## Pm2Ni2Ag3 (PBE)

Data for a relaxed Pm2Ni2Ag3 crystal.

abc: 3.892 19.733 3.703
angles: 90.00 90.00 90.00
Space group Cmmm (No. 65)
One atom of each set of equivalent atoms:
Pm: 0.000 0.164 0.000 x4
Ni: 0.000 0.287 0.500 x4
Ag: 0.000 0.000 0.000 x2
Ag: 0.000 0.429 0.500 x4

The value obtained for the density of states at the Fermi level is 0.42 states/eV/atom.

## Pm2NiAg (PBE)

Data for a relaxed Pm2NiAg crystal.

abc: 3.3256 3.3256 30.8675
angles: 90.00 90.00 120.00
Space group R-3m (No. 166, hexagonal axes)
One atom of each set of equivalent atoms:
Pm: 0.0000 0.0000 0.0827 x6
Ni: 0.0000 0.0000 0.0000 x3
Ag: 0.0000 0.0000 0.5000 x3

The value obtained for the density of states at the Fermi level is 0.71 states/eV/atom.

## Pm4Ni2Ag5 (PBE)

Data for a relaxed Pm4Ni2Ag5 crystal.

abc: 7.403 3.875 8.808
angles: 90.00 94.76 90.00
Space group P2/m (No. 10)
One atom of each set of equivalent atoms:
Pm: 0.193 0.000 0.351 x2
Pm: 0.229 0.000 0.925 x2
Ni: 0.070 0.500 0.132 x2
Ag: 0.157 0.500 0.637 x2
Ag: 0.448 0.500 0.168 x2
Ag: 0.500 0.500 0.500 x1

The value obtained for the density of states at the Fermi level is 0.80 states/eV/atom.

no.,raw total energy (eV/atom),E_form (eV per atom)
1,-4.489,-0.258
2,-4.133,0.401
3,-4.350,-0.275